# 1
## CeEuCd2 (GGA-PBE)

Data for CeEuCd2 after structural relaxation.

Cell lengths 3.8484, 3.8484, 7.9165 Å; angles 90.00, 90.00, 90.00 degrees
Closest atoms and distances in Å follow each position.
Fractional coordinates of all 4 atoms:
1 Ce 0.0000 0.0000 0.0000  8 Cd 3.32
2 Eu 0.0000 0.0000 0.5000  8 Cd 3.41
3 Cd 0.5000 0.5000 0.2407  4 Ce 3.32, 4 Eu 3.41
4 Cd 0.5000 0.5000 0.7593  4 Ce 3.32, 4 Eu 3.41

***

# 2
## CeEuCd2 (GGA-PBE)

Data for CeEuCd2 after structural relaxation.

Cell lengths 5.4913, 5.4913, 5.4913 Å; angles 60.00, 60.00, 60.00 degrees
Closest atoms and distances in Å follow each position.
Fractional coordinates of all 4 atoms:
1 Ce 0.0000 0.0000 0.0000  8 Cd 3.36
2 Eu 0.5000 0.5000 0.5000  8 Cd 3.36
3 Cd 0.2500 0.2500 0.2500  4 Ce 3.36, 4 Eu 3.36
4 Cd 0.7500 0.7500 0.7500  4 Ce 3.36, 4 Eu 3.36

***

# 3
## CeEu2Cd (GGA-PBE)

Data for CeEu2Cd after structural relaxation.

Cell lengths 4.9897, 4.9897, 5.1745 Å; angles 90.00, 90.00, 90.00 degrees
Closest atoms and distances in Å follow each position.
Fractional coordinates of all 4 atoms:
1 Ce 0.0000 0.0000 0.0000  4 Cd 3.53, 8 Eu 3.59
2 Eu 0.0000 0.5000 0.5000  4 Eu 3.53, 4 Cd 3.59, 4 Ce 3.59
3 Eu 0.5000 0.0000 0.5000  4 Eu 3.53, 4 Cd 3.59, 4 Ce 3.59
4 Cd 0.5000 0.5000 0.0000  4 Ce 3.53, 8 Eu 3.59

***

# 4
## CeEuGdCd (GGA-PBE)

Data for CeEuGdCd after structural relaxation.

Cell lengths 5.5404, 5.5404, 5.5404 Å; angles 60.00, 60.00, 60.00 degrees
Closest atoms and distances in Å follow each position.
Fractional coordinates of all 4 atoms:
1 Ce 0.0000 0.0000 0.0000  4 Cd 3.39, 4 Eu 3.39
2 Eu 0.7500 0.7500 0.7500  4 Ce 3.39, 4 Gd 3.39
3 Gd 0.5000 0.5000 0.5000  4 Eu 3.39, 4 Cd 3.39
4 Cd 0.2500 0.2500 0.2500  4 Gd 3.39, 4 Ce 3.39

***

# 5
## CeEuCdGe (GGA-PBE)

Data for CeEuCdGe after structural relaxation.

Cell lengths 5.3354, 5.3354, 5.3354 Å; angles 60.00, 60.00, 60.00 degrees
Closest atoms and distances in Å follow each position.
Fractional coordinates of all 4 atoms:
1 Ce 0.0000 0.0000 0.0000  4 Ge 3.27, 4 Cd 3.27
2 Eu 0.5000 0.5000 0.5000  4 Ge 3.27, 4 Cd 3.27
3 Cd 0.2500 0.2500 0.2500  4 Eu 3.27, 4 Ce 3.27
4 Ge 0.7500 0.7500 0.7500  4 Ce 3.27, 4 Eu 3.27

***

# 6
## CeEuHoCd (GGA-PBE)

Data for CeEuHoCd after structural relaxation.

Cell lengths 5.5597, 5.5597, 5.5597 Å; angles 60.00, 60.00, 60.00 degrees
Closest atoms and distances in Å follow each position.
Fractional coordinates of all 4 atoms:
1 Ce 0.0000 0.0000 0.0000  4 Ho 3.40, 4 Cd 3.40
2 Eu 0.5000 0.5000 0.5000  4 Cd 3.40, 4 Ho 3.40
3 Ho 0.7500 0.7500 0.7500  4 Ce 3.40, 4 Eu 3.40
4 Cd 0.2500 0.2500 0.2500  4 Ce 3.40, 4 Eu 3.40

***

Number 1: raw total energy -4.747 eV per atom, energy of formation -22.9 kJ/mol of atoms. Number 2: raw total energy -4.721 eV per atom, energy of formation -20.4 kJ/mol of atoms. Number 3: raw total energy -6.797 eV per atom, energy of formation 5.1 kJ/mol of atoms. Number 4: raw total energy -7.736 eV per atom, energy of formation 6.2 kJ/mol of atoms. Number 5: raw total energy -5.833 eV per atom, energy of formation -38.4 kJ/mol of atoms. Number 6: raw total energy -5.353 eV per atom, energy of formation 7.0 kJ/mol of atoms.